Material: Rb2CrAgF6
Method: DFT, PBE+U
State: relaxed

## Properties
SG   No. 139
Magnetization   3.000 μB per formula unit
Calculated density   4.3 g/cm³
Electronic total energy   -48.42 eV per cell

Cell and atoms, written as POSCAR:
```
Rb2CrAgF6
1.0
6.213 0.000 0.000
0.000 6.213 0.000
3.106 3.106 4.405
F Rb Ag Cr
6 2 1 1
Cartesian
3.106 3.106 1.957
4.491 4.491 0.000
1.722 4.491 0.000
4.491 1.722 0.000
1.722 1.722 0.000
6.213 6.213 2.448
3.106 6.213 2.202
6.213 3.106 2.202
0.000 0.000 0.000
3.106 3.106 0.000
```